# CeNd2In, relaxed, DFT PBE
# Energy above the lowest structure with this stoichiometry: 0.000 eV per atom
# Total moment: 0.77 μB/cell
# DOS at the Fermi energy: 8.5 states/eV/cell
data_CeNd2In
_cell_length_a 5.0081
_cell_length_b 5.0081
_cell_length_c 4.7778
_cell_angle_alpha 90.00
_cell_angle_beta 90.00
_cell_angle_gamma 90.00
_space_group_name_H-M_alt 'P 4/m m m'
_space_group_IT_number 123
_space_group_name_Hall '-P 4 2'
loop_
_atom_site_label
_atom_site_type_symbol
_atom_site_fract_x
_atom_site_fract_y
_atom_site_fract_z
Ce1 Ce 0.0000 0.0000 0.0000
Nd1 Nd 0.0000 0.5000 0.5000
In1 In 0.5000 0.5000 0.0000

# Pr4Te2PtBr, relaxed, DFT PBE
# VASP energy: -5.442 eV/atom
# Total moment: 0.00 μB/cell
# DOS at the Fermi energy: 5.5 states/eV/cell
data_Pr4Te2PtBr
_cell_length_a 7.7393
_cell_length_b 4.2818
_cell_length_c 7.8391
_cell_angle_alpha 90.00
_cell_angle_beta 108.14
_cell_angle_gamma 90.00
_space_group_name_H-M_alt 'P 1 2/m 1'
_space_group_IT_number 10
_space_group_name_Hall '-P 2y'
loop_
_atom_site_label
_atom_site_type_symbol
_atom_site_fract_x
_atom_site_fract_y
_atom_site_fract_z
Pr1 Pr 0.2190 0.0000 0.2186
Pr2 Pr 0.2391 0.5000 0.7582
Te1 Te 0.0000 0.0000 0.5000
Te2 Te 0.5000 0.5000 0.5000
Pt1 Pt 0.0000 0.5000 0.0000
Br1 Br 0.5000 0.0000 0.0000

# La3PtAu, relaxed, DFT PBE
# Energy above the lowest structure with this stoichiometry: 0.000 eV per atom
# Total moment: 0.00 μB/cell
# DOS at the Fermi energy: 25.0 states/eV/cell
data_La3PtAu
_cell_length_a 11.7370
_cell_length_b 4.1877
_cell_length_c 12.1665
_cell_angle_alpha 90.00
_cell_angle_beta 90.00
_cell_angle_gamma 90.00
_space_group_name_H-M_alt 'P n m a'
_space_group_IT_number 62
_space_group_name_Hall '-P 2ac 2n'
loop_
_atom_site_label
_atom_site_type_symbol
_atom_site_fract_x
_atom_site_fract_y
_atom_site_fract_z
La1 La 0.0544 0.2500 0.1445
La2 La 0.1178 0.7500 0.5606
La3 La 0.2265 0.2500 0.7990
Pt1 Pt 0.0095 0.7500 0.3174
Au1 Au 0.1839 0.7500 0.9913